(1)
Material: Rb2VAgMo
Method: DFT, GGA-PBE
State: optimized geometry Values from VASP.

The space group is P4/mmm, No. 123. For the energy relative to the elements, the calculation gives 1.72 eV per atom. The calculation puts the spin magnetization at 0.3 μB per cell. The calculation puts the total energy at -3.2294 eV/atom.

The structure in Quantum ESPRESSO input format:
```
&SYSTEM
  ibrav = 0, nat = 5, ntyp = 4
/
ATOMIC_SPECIES
Rb 85.47 Rb.upf
V 50.94 V.upf
Ag 107.87 Ag.upf
Mo 95.94 Mo.upf
CELL_PARAMETERS angstrom
6.407 0.000 0.000
0.000 6.407 0.000
0.000 0.000 5.503
ATOMIC_POSITIONS angstrom
Rb 0.000 3.203 0.000
Rb 3.203 0.000 0.000
V 0.000 0.000 2.752
Ag 3.203 3.203 0.000
Mo 3.203 3.203 2.752
```

=====

(2)
Material: ReAgMo2
Method: DFT, GGA-PBE
State: optimized geometry Values from VASP.

The space group is P4/mmm, No. 123. For the energy relative to the elements, the calculation gives 0.43 eV per atom. The excess energy over the best structure of this formula in the dataset is 12.2 kJ per mole of atoms. The calculation puts the spin magnetization at 0.0 μB per cell. The calculation puts the total energy at -8.8111 eV/atom.

The structure in Quantum ESPRESSO input format:
```
&SYSTEM
  ibrav = 0, nat = 4, ntyp = 3
/
ATOMIC_SPECIES
Re 186.21 Re.upf
Ag 107.87 Ag.upf
Mo 95.94 Mo.upf
CELL_PARAMETERS angstrom
3.995 0.000 0.000
0.000 3.995 0.000
0.000 0.000 3.944
ATOMIC_POSITIONS angstrom
Re 0.000 0.000 0.000
Ag 1.997 1.997 0.000
Mo 0.000 1.997 1.972
Mo 1.997 0.000 1.972
```

=====

(3)
Material: ReAg2Mo
Method: DFT, GGA-PBE
State: optimized geometry Values from VASP.

The space group is Cmm2, No. 35. For the energy relative to the elements, the calculation gives 0.32 eV per atom. The excess energy over the best structure of this formula in the dataset is 0.0 kJ per mole of atoms. The calculation puts the spin magnetization at 0.0 μB per cell. The calculation puts the total energy at -6.9271 eV/atom.

The structure in Quantum ESPRESSO input format:
```
&SYSTEM
  ibrav = 0, nat = 8, ntyp = 3
/
ATOMIC_SPECIES
Re 186.21 Re.upf
Ag 107.87 Ag.upf
Mo 95.94 Mo.upf
CELL_PARAMETERS angstrom
3.082 0.000 0.000
0.000 4.527 0.000
0.000 0.000 9.554
ATOMIC_POSITIONS angstrom
Re 0.000 0.000 0.000
Re 1.541 2.263 0.000
Ag 0.000 0.000 4.949
Ag 0.000 2.263 2.482
Ag 1.541 0.000 2.482
Ag 1.541 2.263 4.949
Mo 0.000 2.263 7.435
Mo 1.541 0.000 7.435
```

=====

(4)
Material: Re2AgMo
Method: DFT, GGA-PBE
State: optimized geometry Values from VASP.

The space group is C2/m, No. 12. For the energy relative to the elements, the calculation gives 0.47 eV per atom. The excess energy over the best structure of this formula in the dataset is 17.7 kJ per mole of atoms. The calculation puts the spin magnetization at 0.0 μB per cell. The calculation puts the total energy at -9.1767 eV/atom.

The structure in Quantum ESPRESSO input format:
```
&SYSTEM
  ibrav = 0, nat = 8, ntyp = 3
/
ATOMIC_SPECIES
Re 186.21 Re.upf
Ag 107.87 Ag.upf
Mo 95.94 Mo.upf
CELL_PARAMETERS angstrom
9.386 0.000 0.000
0.000 2.819 0.000
-0.939 0.000 4.751
ATOMIC_POSITIONS angstrom
Re 2.052 0.000 1.129
Re 1.701 1.409 3.622
Re 6.745 1.409 1.129
Re 6.394 0.000 3.622
Ag -0.470 0.000 2.375
Ag 4.223 1.409 2.375
Mo 0.000 1.409 0.000
Mo 4.693 0.000 0.000
```

=====

(5)
Material: ReAgMo
Method: DFT, GGA-PBE
State: optimized geometry Values from VASP.

The space group is I4mm, No. 107. For the energy relative to the elements, the calculation gives 0.52 eV per atom. The excess energy over the best structure of this formula in the dataset is 10.3 kJ per mole of atoms. The calculation puts the spin magnetization at 0.0 μB per cell. The calculation puts the total energy at -8.1907 eV/atom.

The structure in Quantum ESPRESSO input format:
```
&SYSTEM
  ibrav = 0, nat = 6, ntyp = 3
/
ATOMIC_SPECIES
Re 186.21 Re.upf
Ag 107.87 Ag.upf
Mo 95.94 Mo.upf
CELL_PARAMETERS angstrom
3.226 0.000 0.000
0.000 3.226 0.000
0.000 0.000 9.530
ATOMIC_POSITIONS angstrom
Re 0.000 0.000 0.000
Re 1.613 1.613 4.765
Ag 0.000 0.000 6.522
Ag 1.613 1.613 1.756
Mo 0.000 0.000 3.521
Mo 1.613 1.613 8.286
```

=====

(6)
Material: Re2AgMo
Method: DFT, GGA-PBE
State: optimized geometry Values from VASP.

The space group is I-42d, No. 122. For the energy relative to the elements, the calculation gives 1.13 eV per atom. The excess energy over the best structure of this formula in the dataset is 81.5 kJ per mole of atoms. The calculation puts the spin magnetization at 0.0 μB per cell. The calculation puts the total energy at -8.5155 eV/atom.

The structure in Quantum ESPRESSO input format:
```
&SYSTEM
  ibrav = 0, nat = 16, ntyp = 3
/
ATOMIC_SPECIES
Re 186.21 Re.upf
Ag 107.87 Ag.upf
Mo 95.94 Mo.upf
CELL_PARAMETERS angstrom
7.251 0.000 0.000
0.000 7.251 0.000
0.000 0.000 5.354
ATOMIC_POSITIONS angstrom
Re 1.582 1.813 0.669
Re 1.813 5.208 2.008
Re 1.813 5.669 4.684
Re 2.043 1.813 3.346
Re 5.208 5.438 3.346
Re 5.438 1.582 4.684
Re 5.438 2.043 2.008
Re 5.669 5.438 0.669
Ag 0.000 0.000 2.677
Ag 0.000 3.626 4.015
Ag 3.626 0.000 1.338
Ag 3.626 3.626 0.000
Mo 0.000 0.000 0.000
Mo 0.000 3.626 1.338
Mo 3.626 0.000 4.015
Mo 3.626 3.626 2.677
```

=====

(7)
Material: ReAgMo
Method: DFT, GGA-PBE
State: optimized geometry Values from VASP.

The space group is Fmm2, No. 42. For the energy relative to the elements, the calculation gives 0.41 eV per atom. The excess energy over the best structure of this formula in the dataset is 0.0 kJ per mole of atoms. The calculation puts the spin magnetization at 0.0 μB per cell. The calculation puts the total energy at -8.2970 eV/atom.

The structure in Quantum ESPRESSO input format:
```
&SYSTEM
  ibrav = 0, nat = 12, ntyp = 3
/
ATOMIC_SPECIES
Re 186.21 Re.upf
Ag 107.87 Ag.upf
Mo 95.94 Mo.upf
CELL_PARAMETERS angstrom
3.113 0.000 0.000
0.000 4.487 0.000
0.000 0.000 14.104
ATOMIC_POSITIONS angstrom
Re 0.000 0.000 0.000
Re 0.000 2.243 7.052
Re 1.556 0.000 7.052
Re 1.556 2.243 0.000
Ag 0.000 0.000 9.534
Ag 0.000 2.243 2.482
Ag 1.556 0.000 2.482
Ag 1.556 2.243 9.534
Mo 0.000 0.000 4.962
Mo 0.000 2.243 12.014
Mo 1.556 0.000 12.014
Mo 1.556 2.243 4.962
```

=====

(8)
Material: ReAgMo2
Method: DFT, GGA-PBE
State: optimized geometry Values from VASP.

The space group is I4/mmm, No. 139. For the energy relative to the elements, the calculation gives 0.45 eV per atom. The excess energy over the best structure of this formula in the dataset is 13.8 kJ per mole of atoms. The calculation puts the spin magnetization at 0.0 μB per cell. The calculation puts the total energy at -8.7949 eV/atom.

The structure in Quantum ESPRESSO input format:
```
&SYSTEM
  ibrav = 0, nat = 8, ntyp = 3
/
ATOMIC_SPECIES
Re 186.21 Re.upf
Ag 107.87 Ag.upf
Mo 95.94 Mo.upf
CELL_PARAMETERS angstrom
4.028 0.000 0.000
0.000 4.028 0.000
0.000 0.000 7.785
ATOMIC_POSITIONS angstrom
Re 0.000 0.000 0.000
Re 2.014 2.014 3.893
Ag 0.000 0.000 3.893
Ag 2.014 2.014 0.000
Mo 0.000 2.014 1.946
Mo 0.000 2.014 5.839
Mo 2.014 0.000 1.946
Mo 2.014 0.000 5.839
```